1.
Computed, not measured: a geometry-optimized Sr4Np3MnN8 structure at the PBE-GGA level of DFT.

Cell: 7.177 7.177 7.177 Å, 58.40 58.40 58.40°
Fractional positions:
1 Sr 0.000 0.000 0.000
2 Sr 0.000 0.500 0.500
3 Sr 0.500 0.000 0.500
4 Sr 0.500 0.500 0.000
5 Np 0.000 0.000 0.500
6 Np 0.000 0.500 0.000
7 Np 0.500 0.000 0.000
8 Mn 0.500 0.500 0.500
9 N 0.218 0.740 0.740
10 N 0.234 0.234 0.234
11 N 0.260 0.260 0.782
12 N 0.260 0.782 0.260
13 N 0.740 0.218 0.740
14 N 0.740 0.740 0.218
15 N 0.766 0.766 0.766
16 N 0.782 0.260 0.260

SG: R-3m (166)
VASP energy: -8.430 eV per atom
mass density: 8.10 g cm⁻³
DOS(E_F): 1.062 states/eV/atom

2.
Computed, not measured: a geometry-optimized LaSi2Te structure at the PBE-GGA level of DFT.

Cell: 5.727 5.727 5.234 Å, 112.77 112.77 40.09°
Fractional positions:
1 La 0.000 0.000 0.000
2 Si 0.253 0.253 0.641
3 Si 0.747 0.747 0.359
4 Te 0.500 0.500 0.500

SG: C2/m (12)
VASP energy: -5.120 eV per atom
mass density: 5.32 g cm⁻³
DOS(E_F): 0.313 states/eV/atom

3.
Computed, not measured: a geometry-optimized KIn2Te3 structure at the PBE-GGA level of DFT.

Cell: 12.899 12.899 8.199 Å, 108.13 108.13 23.32°
Fractional positions:
1 K 0.151 0.151 0.440
2 K 0.849 0.849 0.560
3 In 0.197 0.197 0.009
4 In 0.446 0.446 0.111
5 In 0.554 0.554 0.889
6 In 0.803 0.803 0.991
7 Te 0.086 0.086 0.770
8 Te 0.278 0.278 0.815
9 Te 0.435 0.435 0.756
10 Te 0.565 0.565 0.244
11 Te 0.722 0.722 0.185
12 Te 0.914 0.914 0.230

SG: C2/m (12)
VASP energy: -3.149 eV per atom
mass density: 4.23 g cm⁻³
DOS(E_F): 0.284 states/eV/atom

4.
Computed, not measured: a geometry-optimized Hf3InSi structure at the PBE-GGA level of DFT.

Cell: 4.885 4.885 4.885 Å, 90.00 90.00 90.00°
Fractional positions:
1 Hf 0.000 0.000 0.500
2 Hf 0.000 0.500 0.000
3 Hf 0.500 0.000 0.000
4 In 0.500 0.500 0.500
5 Si 0.000 0.000 0.000

energy relative to the lowest polymorph listed for this composition: 0.000 eV/atom
SG: Pm-3m (221)
mass density: 9.66 g cm⁻³
DOS(E_F): 0.838 states/eV/atom

5.
Computed, not measured: a geometry-optimized In structure at the PBE-GGA level of DFT.

Cell: 3.304 3.304 3.304 Å, 114.75 114.75 99.36°
Fractional positions:
1 In 0.000 0.000 0.000

energy relative to the lowest polymorph listed for this composition: 0.026 eV/atom
E_form: 0.0 eV/f.u.
SG: I4/mmm (139)
mass density: 7.02 g cm⁻³
DOS(E_F): 0.457 states/eV/atom

6.
Computed, not measured: a geometry-optimized Sn2PbBr6 structure at the PBE-GGA level of DFT.

Cell: 10.072 10.072 7.534 Å, 94.37 94.37 84.60°
Fractional positions:
1 Sn 0.153 0.326 0.024
2 Sn 0.326 0.153 0.524
3 Sn 0.674 0.847 0.476
4 Sn 0.847 0.674 0.976
5 Pb 0.400 0.600 0.750
6 Pb 0.600 0.400 0.250
7 Br 0.076 0.200 0.698
8 Br 0.124 0.614 0.878
9 Br 0.200 0.076 0.198
10 Br 0.318 0.445 0.399
11 Br 0.386 0.876 0.622
12 Br 0.445 0.318 0.899
13 Br 0.555 0.682 0.101
14 Br 0.614 0.124 0.378
15 Br 0.682 0.555 0.601
16 Br 0.800 0.924 0.802
17 Br 0.876 0.386 0.122
18 Br 0.924 0.800 0.302

energy relative to the lowest polymorph listed for this composition: 0.012 eV/atom
SG: C2/c (15)
mass density: 4.05 g cm⁻³
DOS(E_F): 0.000 states/eV/atom

Among the records above, which one has the lowest DOS(E_F)? Sn2PbBr6